This record from the Alexandria database describes an optimized crystal structure of GaB2SeN. The functional is PBE.

abc: 3.424 3.424 6.545
angles: 90.00 90.00 90.00
Fractional coordinates of all 5 atoms:
1 Ga 0.000 0.000 0.000
2 B 0.000 0.500 0.500
3 B 0.500 0.000 0.500
4 Se 0.500 0.500 0.000
5 N 0.000 0.000 0.500

Output
Energy relative to the lowest polymorph listed for this composition ... 0.000 eV/atom
Raw formation energy ... 1.354 eV/atom
Raw total energy ... -21.42 eV per cell



This record from the Alexandria database describes an optimized crystal structure of Ba2YPb2. The functional is PBE.

abc: 8.496 8.496 5.472
angles: 90.00 90.00 90.00
Fractional coordinates of all 10 atoms:
1 Ba 0.166 0.334 0.000
2 Ba 0.334 0.834 0.000
3 Ba 0.666 0.166 0.000
4 Ba 0.834 0.666 0.000
5 Y 0.000 0.000 0.500
6 Y 0.500 0.500 0.500
7 Pb 0.134 0.634 0.500
8 Pb 0.366 0.134 0.500
9 Pb 0.634 0.866 0.500
10 Pb 0.866 0.366 0.500

Output
Energy relative to the lowest polymorph listed for this composition ... 0.000 eV/atom
Raw total energy ... -39.91 eV per cell